# HgRhO2 PBE optimized geometry
data_HgRhO2
_chemical_formula_sum 'Hg1 Rh1 O2'
_cell_length_a 3.3283
_cell_length_b 3.3283
_cell_length_c 4.7431
_cell_angle_alpha 90.00
_cell_angle_beta 90.00
_cell_angle_gamma 90.00
_space_group_name_H-M_alt 'P 4/m m m'
_space_group_IT_number 123
_space_group_name_Hall '-P 4 2'
loop_
_atom_site_label
_atom_site_type_symbol
_atom_site_fract_x
_atom_site_fract_y
_atom_site_fract_z
Hg1 Hg 0.0000 0.0000 0.0000
Rh1 Rh 0.5000 0.5000 0.5000
O1 O 0.0000 0.0000 0.5000
O2 O 0.5000 0.5000 0.0000
# total moment: 0.01 μB per atom
# energy relative to the elements, uncorrected: 135 meV per atom
# final energy: -4.26 eV/atom